Below is CdBN2F at its PBEsol-relaxed geometry, with properties calculated at the meta-GGA SCAN level.

## Properties
formation energy (no corrections)	1.881	eV per atom
crystal system	tetragonal

abc: 4.2053 4.2053 4.3800
angles: 90.00 90.00 90.00
Closest atoms and distances in Å follow each position.
Fractional positions:
Cd 0.0000 0.0000 0.0000  4 N 2.10, 2 F 2.19
B 0.5000 0.5000 0.5000  4 F 2.97, 8 N 3.04
N 0.0000 0.5000 0.0000  2 Cd 2.10
N 0.5000 0.0000 0.0000  2 Cd 2.10
F 0.0000 0.0000 0.5000  2 Cd 2.19

=====

Below is CdBNF2 at its PBEsol-relaxed geometry, with properties calculated at the meta-GGA SCAN level.

## Properties
formation energy (no corrections)	0.592	eV per atom
crystal system	tetragonal

abc: 4.3122 4.3122 4.2845
angles: 90.00 90.00 90.00
Closest atoms and distances in Å follow each position.
Fractional positions:
Cd 0.0000 0.0000 0.0000  2 N 2.14, 4 F 2.16
B 0.5000 0.5000 0.5000  8 F 3.04, 4 N 3.05
N 0.0000 0.0000 0.5000  2 Cd 2.14
F 0.0000 0.5000 0.0000  2 Cd 2.16
F 0.5000 0.0000 0.0000  2 Cd 2.16

=====

Below is CdBOF2 at its PBEsol-relaxed geometry, with properties calculated at the meta-GGA SCAN level.

## Properties
formation energy (no corrections)	-0.072	eV per atom
crystal system	tetragonal

abc: 4.2653 4.2653 4.1277
angles: 90.00 90.00 90.00
Closest atoms and distances in Å follow each position.
Fractional positions:
Cd 0.0000 0.0000 0.0000  2 O 2.06, 4 F 2.13
B 0.5000 0.5000 0.5000  8 F 2.97, 4 O 3.02
O 0.0000 0.0000 0.5000  2 Cd 2.06
F 0.0000 0.5000 0.0000  2 Cd 2.13
F 0.5000 0.0000 0.0000  2 Cd 2.13

=====

Below is CdFe3B at its PBEsol-relaxed geometry, with properties calculated at the meta-GGA SCAN level.

## Properties
E_form	2.417	eV per atom
crystal system	cubic

abc: 4.6466 4.6466 4.6466
angles: 90.00 90.00 90.00
Closest atoms and distances in Å follow each position.
Fractional positions:
Cd 0.0000 0.0000 0.0000  6 Fe 2.32
Fe 0.0000 0.0000 0.5000  2 Cd 2.32
Fe 0.0000 0.5000 0.0000  2 Cd 2.32
Fe 0.5000 0.0000 0.0000  2 Cd 2.32
B 0.5000 0.5000 0.5000  12 Fe 3.29

=====

Below is CdFe2BRh at its PBEsol-relaxed geometry, with properties calculated at the meta-GGA SCAN level.

## Properties
E_form	0.843	eV per atom
crystal system	tetragonal

abc: 4.6500 4.6500 3.8898
angles: 90.00 90.00 90.00
Closest atoms and distances in Å follow each position.
Fractional positions:
Cd 0.0000 0.0000 0.0000  8 Fe 3.03, 4 B 3.29
Fe 0.0000 0.5000 0.5000  2 Rh 2.32
Fe 0.5000 0.0000 0.5000  2 Rh 2.32
B 0.5000 0.5000 0.0000  2 Rh 1.94
Rh 0.5000 0.5000 0.5000  2 B 1.94

=====

Below is CdFeBW2 at its PBEsol-relaxed geometry, with properties calculated at the meta-GGA SCAN level.

## Properties
E_form	2.953	eV per atom
crystal system	tetragonal

abc: 4.9175 4.9175 3.7729
angles: 90.00 90.00 90.00
Closest atoms and distances in Å follow each position.
Fractional positions:
Cd 0.0000 0.0000 0.0000  2 B 1.89
Fe 0.5000 0.5000 0.5000  8 W 3.10
B 0.0000 0.0000 0.5000  2 Cd 1.89
W 0.0000 0.5000 0.0000  2 Cd 2.46
W 0.5000 0.0000 0.0000  2 Cd 2.46

=====

Below is Cd3GaB at its PBEsol-relaxed geometry, with properties calculated at the meta-GGA SCAN level.

## Properties
E_form	1.205	eV per atom
crystal system	cubic

abc: 4.9739 4.9739 4.9739
angles: 90.00 90.00 90.00
Closest atoms and distances in Å follow each position.
Fractional positions:
Cd 0.0000 0.0000 0.5000  2 Ga 2.49
Cd 0.0000 0.5000 0.0000  2 Ga 2.49
Cd 0.5000 0.0000 0.0000  2 Ga 2.49
Ga 0.0000 0.0000 0.0000  6 Cd 2.49
B 0.5000 0.5000 0.5000  12 Cd 3.52

=====

Below is Cd2GeB at its PBEsol-relaxed geometry, with properties calculated at the meta-GGA SCAN level.

## Properties
E_form	0.977	eV per atom
crystal system	cubic

abc: 4.6257 4.6257 4.6257
angles: 60.00 60.00 60.00
Closest atoms and distances in Å follow each position.
Fractional positions:
Cd 0.2500 0.2500 0.2500  4 Ge 2.83, 4 B 2.83
Cd 0.7500 0.7500 0.7500  4 Ge 2.83, 4 B 2.83
Ge 0.0000 0.0000 0.0000  8 Cd 2.83
B 0.5000 0.5000 0.5000  8 Cd 2.83

=====

Below is CdBH2 at its PBEsol-relaxed geometry, with properties calculated at the meta-GGA SCAN level.

## Properties
crystal system	tetragonal

abc: 4.6846 4.6846 4.6846
angles: 114.48 114.48 99.86
Closest atoms and distances in Å follow each position.
Fractional positions:
Cd 0.3750 0.6250 0.7500  4 H 2.59
Cd 0.6250 0.3750 0.2500  4 H 2.59
B 0.1250 0.8750 0.2500  4 H 1.47
B 0.8750 0.1250 0.7500  4 H 1.47
H 0.0000 0.0000 0.0000  2 B 1.47
H 0.0000 0.0000 0.5000  2 B 1.47
H 0.0000 0.5000 0.0000  2 B 1.47
H 0.5000 0.0000 0.5000  2 B 1.47

=====

Below is Cd2BHIr at its PBEsol-relaxed geometry, with properties calculated at the meta-GGA SCAN level.

## Properties
crystal system	tetragonal

abc: 4.5408 4.5408 3.9371
angles: 90.00 90.00 90.00
Closest atoms and distances in Å follow each position.
Fractional positions:
Cd 0.0000 0.5000 0.0000  2 B 2.27
Cd 0.5000 0.0000 0.0000  2 B 2.27
B 0.0000 0.0000 0.0000  2 Ir 1.97
H 0.5000 0.5000 0.5000  8 Cd 3.00, 4 Ir 3.21
Ir 0.0000 0.0000 0.5000  2 B 1.97

=====

Below is RbCdBH2 at its PBEsol-relaxed geometry, with properties calculated at the meta-GGA SCAN level.

## Properties
crystal system	tetragonal

abc: 4.4348 4.4348 4.2486
angles: 90.00 90.00 90.00
Closest atoms and distances in Å follow each position.
Fractional positions:
Rb 0.0000 0.0000 0.0000  8 H 3.07, 4 Cd 3.14
Cd 0.5000 0.5000 0.0000  2 B 2.12
B 0.5000 0.5000 0.5000  2 Cd 2.12, 4 H 2.22
H 0.0000 0.5000 0.5000  2 B 2.22
H 0.5000 0.0000 0.5000  2 B 2.22

=====

Below is ScCdB2H at its PBEsol-relaxed geometry, with properties calculated at the meta-GGA SCAN level.

## Properties
crystal system	tetragonal

abc: 4.0317 4.0317 5.5547
angles: 90.00 90.00 90.00
Closest atoms and distances in Å follow each position.
Fractional positions:
Sc 0.0000 0.0000 0.0000  2 Cd 2.78, 4 H 2.85
Cd 0.0000 0.0000 0.5000  4 B 2.02
B 0.0000 0.5000 0.5000  2 Cd 2.02
B 0.5000 0.0000 0.5000  2 Cd 2.02
H 0.5000 0.5000 0.0000  4 Sc 2.85

=====

| no. | E_tot (eV/cell) | total magnetization (μB/cell) | calculated density (g/cm3) |
| --- | --- | --- | --- |
| 1 | -50.6 | 3.56 | 3.65 |
| 2 | -51.3 | 1.98 | 3.65 |
| 3 | -51.5 | 0.51 | 3.92 |
| 4 | -80.1 | 9.49 | 4.81 |
| 5 | -103.7 | 6.86 | 6.67 |
| 6 | -180.6 | 1.35 | 9.95 |
| 7 | -109.0 | 0.00 | 5.64 |
| 8 | -83.4 | 0.00 | 7.31 |
| 9 | -83.2 | 0.00 | 5.37 |
| 10 | -139.0 | 0.73 | 8.77 |
| 11 | -61.6 | 0.00 | 4.19 |
| 12 | -54.5 | 1.07 | 3.31 |